Here is a relaxed Fe2HgP crystal from Alexandria via LeMat-Bulk. Energies are from GGA-PBE.

Lattice parameters (Å, degrees): 4.1845 4.1845 6.1265 112.67 112.67 41.78
Last column: nearest neighbours and their distance in Å.
Sites, in units of the cell vectors:
Fe1 0.0622 0.0622 0.0142  3 P 2.32-2.34, 3 Fe 2.43-2.48
Fe2 0.7206 0.7206 0.8316  2 P 2.29, 3 Fe 2.43-2.48
Hg1 0.3305 0.3305 0.5279  1 P 2.67, 4 Fe 2.78-2.98, 2 Hg 2.98
P1 0.3866 0.3866 0.1263  5 Fe 2.29-2.34

Values from the calculation:
SG   Cm
Total magnetization   4.526 Bohr magnetons per cell
Calculated density   8.75 g/cm³
Electronic total energy   -5.4932 eV/atom
ΔH_f (0 K)   16.0 kJ per mole of atoms